(1)
# AgHgPb2

AgHgPb2 at its PBEsol-relaxed geometry (SCAN, Alexandria).

a = 4.617 Å, b = 3.691 Å, c = 11.557 Å
α = 90.00°, β = 90.00°, γ = 90.00°
Positions (direct):
Ag1 0.000 0.000 0.000
Ag2 0.000 0.500 0.500
Hg1 0.500 0.000 0.848
Hg2 0.500 0.500 0.348
Pb1 0.000 0.000 0.262
Pb2 0.000 0.500 0.762
Pb3 0.500 0.000 0.576
Pb4 0.500 0.500 0.076

Density, g/cm3: 12.2
ΔE_f, eV/atom: 0.075
Total DFT energy (no corrections), eV per atom: -62.70
Fermi-level density of states, states/eV/f.u.: 1.28

***

(2)
# AgHgPb2

AgHgPb2 at its PBEsol-relaxed geometry (SCAN, Alexandria).

a = 3.354 Å, b = 3.354 Å, c = 8.705 Å
α = 90.00°, β = 90.00°, γ = 90.00°
Positions (direct):
Ag1 0.000 0.000 0.000
Hg1 0.000 0.000 0.500
Pb1 0.500 0.500 0.224
Pb2 0.500 0.500 0.776

Density, g/cm3: 12.3
ΔE_f, eV/atom: 0.081
Total DFT energy (no corrections), eV per atom: -62.69
Fermi-level density of states, states/eV/f.u.: 1.72

***

(3)
# AgHg2Pb

AgHg2Pb at its PBEsol-relaxed geometry (SCAN, Alexandria).

a = 3.297 Å, b = 3.297 Å, c = 29.154 Å
α = 90.00°, β = 90.00°, γ = 120.00°
Positions (direct):
Ag1 0.000 0.000 0.000
Ag2 0.333 0.667 0.667
Ag3 0.667 0.333 0.333
Hg1 0.000 0.000 0.259
Hg2 0.000 0.000 0.741
Hg3 0.333 0.667 0.407
Hg4 0.333 0.667 0.926
Hg5 0.667 0.333 0.074
Hg6 0.667 0.333 0.593
Pb1 0.000 0.000 0.500
Pb2 0.333 0.667 0.167
Pb3 0.667 0.333 0.833

Density, g/cm3: 13.0
ΔE_f, eV/atom: 0.088
Total DFT energy (no corrections), eV per atom: -60.78
Fermi-level density of states, states/eV/f.u.: 1.42

***

(4)
# AgHgPb2

AgHgPb2 at its PBEsol-relaxed geometry (SCAN, Alexandria).

a = 3.424 Å, b = 3.424 Å, c = 29.253 Å
α = 90.00°, β = 90.00°, γ = 120.00°
Positions (direct):
Ag1 0.000 0.000 0.000
Ag2 0.333 0.667 0.667
Ag3 0.667 0.333 0.333
Hg1 0.000 0.000 0.500
Hg2 0.333 0.667 0.167
Hg3 0.667 0.333 0.833
Pb1 0.000 0.000 0.255
Pb2 0.000 0.000 0.745
Pb3 0.333 0.667 0.411
Pb4 0.333 0.667 0.922
Pb5 0.667 0.333 0.078
Pb6 0.667 0.333 0.589

Density, g/cm3: 12.1
ΔE_f, eV/atom: 0.111
Total DFT energy (no corrections), eV per atom: -62.66
Fermi-level density of states, states/eV/f.u.: 1.54

***

What did the second record say?
# AgHgPb2

AgHgPb2 at its PBEsol-relaxed geometry (SCAN, Alexandria).

a = 3.354 Å, b = 3.354 Å, c = 8.705 Å
α = 90.00°, β = 90.00°, γ = 90.00°
Positions (direct):
Ag1 0.000 0.000 0.000
Hg1 0.000 0.000 0.500
Pb1 0.500 0.500 0.224
Pb2 0.500 0.500 0.776

Density, g/cm3: 12.3
ΔE_f, eV/atom: 0.081
Total DFT energy (no corrections), eV per atom: -62.69
Fermi-level density of states, states/eV/f.u.: 1.72

***

Number 1 is which compound?
AgHgPb2

***

ΔE_f of number 4 (AgHgPb2)?
0.111 eV/atom

***

What is the Fermi-level density of states in the fourth record?
1.54 states/eV/f.u.